DFT (PBE-GGA) results for La2TbSm3Te6 after structural relaxation.

Properties
D(E_F)	14.20	states/eV per cell
formation energy from raw total energies	-1.441	eV per atom
raw total energy	-129.6	eV for the cell shown
calculated density	7203	kg/m3

Cell lengths 19.483, 4.466, 8.992 Å; angles 90.00, 102.96, 90.00 degrees
Space group C2/m (No. 12)
Unique sites:
La 0.167 0.000 0.334 [4 per cell]
Tb 0.000 0.500 0.000 [2 per cell]
Sm 0.000 0.500 0.500 [2 per cell]
Sm 0.170 0.000 0.835 [4 per cell]
Te 0.004 0.000 0.756 [4 per cell]
Te 0.163 0.500 0.075 [4 per cell]
Te 0.164 0.500 0.588 [4 per cell]

***

DFT (PBE-GGA) results for Na2PtPb after structural relaxation.

Properties
D(E_F)	5.92	states/eV per cell
energy relative to the elements	-0.0350	eV per atom
raw total energy	-50.1	eV for the cell shown
calculated density	6687	kg/m3

Cell lengths 9.147, 9.147, 5.321 Å; angles 90.00, 90.00, 90.00 degrees
Space group I-42d (No. 122)
Unique sites:
Na 0.166 0.250 0.125 [8 per cell]
Pt 0.000 0.000 0.000 [4 per cell]
Pb 0.000 0.000 0.500 [4 per cell]

***

DFT (PBE-GGA) results for CoHIrPd2 after structural relaxation.

Properties
D(E_F)	7.20	states/eV per cell
energy above the most stable polymorph in this dataset	0	meV per atom
raw total energy	-28.8	eV for the cell shown
calculated density	12827	kg/m3

Cell lengths 3.920, 3.920, 3.918 Å; angles 90.00, 90.00, 90.00 degrees
Space group P4/mmm (No. 123)
Unique sites:
Co 0.000 0.000 0.000 [1 per cell]
H 0.500 0.500 0.500 [1 per cell]
Ir 0.500 0.500 0.000 [1 per cell]
Pd 0.000 0.500 0.500 [2 per cell]

***

DFT (PBE-GGA) results for DyPaAgSn after structural relaxation.

Properties
D(E_F)	38.36	states/eV per cell
energy relative to the elements	-0.1021	eV per atom
raw total energy	-85.4	eV for the cell shown
calculated density	10031	kg/m3

Cell lengths 7.433, 7.433, 7.433 Å; angles 90.00, 90.00, 90.00 degrees
Space group F-43m (No. 216)
Unique sites:
Dy 0.000 0.000 0.000 [4 per cell]
Pa 0.000 0.000 0.500 [4 per cell]
Ag 0.250 0.250 0.250 [4 per cell]
Sn 0.250 0.250 0.750 [4 per cell]

***

DFT (PBE-GGA) results for Pa2PtC after structural relaxation.

Properties
D(E_F)	3.12	states/eV per cell
energy relative to the elements	-0.3608	eV per atom
energy above the most stable polymorph in this dataset	0	meV per atom
raw total energy	-35.7	eV for the cell shown
calculated density	16154	kg/m3

Cell lengths 3.059, 3.059, 7.353 Å; angles 90.00, 90.00, 90.00 degrees
Space group P4/mmm (No. 123)
Unique sites:
Pa 0.000 0.000 0.205 [2 per cell]
Pt 0.500 0.500 0.500 [1 per cell]
C 0.500 0.500 0.000 [1 per cell]

***

DFT (PBE-GGA) results for TcRuRh2 after structural relaxation.

Properties
D(E_F)	9.01	states/eV per cell
energy relative to the elements	-0.0061	eV per atom
energy above the most stable polymorph in this dataset	71	meV per atom
raw total energy	-68.7	eV for the cell shown
calculated density	11867	kg/m3

Cell lengths 3.866, 3.866, 7.581 Å; angles 90.00, 90.00, 90.00 degrees
Space group I-4m2 (No. 119)
Unique sites:
Tc 0.000 0.000 0.000 [2 per cell]
Ru 0.000 0.500 0.750 [2 per cell]
Rh 0.000 0.000 0.500 [2 per cell]
Rh 0.000 0.500 0.250 [2 per cell]